First-principles (GGA-PBE) data for an optimized crystal structure of Mn4RhPb, as listed in Alexandria via LeMat-Bulk.

Summary:
Raw total energy   -7.58 eV per atom
Volume   14.111 Å³ per atom

a b c (Å): 6.970 6.970 6.970
angles (deg): 90.00 90.00 90.00
Space group F-43m (No. 216)
Unique sites:
Mn (0.125, 0.125, 0.125) [16 per cell]
Rh (0.000, 0.000, 0.500) [4 per cell]
Pb (0.250, 0.250, 0.750) [4 per cell]

First-principles (GGA-PBE) data for an optimized crystal structure of Mn2TcRhPb, as listed in Alexandria via LeMat-Bulk.

Summary:
Raw total energy   -5.94 eV per atom
Volume   24.933 Å³ per atom

a b c (Å): 4.939 4.939 5.110
angles (deg): 90.00 90.00 90.00
Space group P4/mmm (No. 123)
Unique sites:
Mn (0.000, 0.500, 0.000) [2 per cell]
Tc (0.000, 0.000, 0.500) [1 per cell]
Rh (0.500, 0.500, 0.500) [1 per cell]
Pb (0.000, 0.000, 0.000) [1 per cell]

First-principles (GGA-PBE) data for an optimized crystal structure of Ti2MnRhPb, as listed in Alexandria via LeMat-Bulk.

Summary:
Raw total energy   -6.73 eV per atom
Volume   18.856 Å³ per atom

a b c (Å): 4.384 4.384 4.905
angles (deg): 90.00 90.00 90.00
Space group P4/mmm (No. 123)
Unique sites:
Ti (0.000, 0.500, 0.000) [2 per cell]
Mn (0.000, 0.000, 0.000) [1 per cell]
Rh (0.500, 0.500, 0.500) [1 per cell]
Pb (0.000, 0.000, 0.500) [1 per cell]

First-principles (GGA-PBE) data for an optimized crystal structure of MnZn2RhPb, as listed in Alexandria via LeMat-Bulk.

Summary:
Raw total energy   -3.38 eV per atom
Volume   26.149 Å³ per atom

a b c (Å): 5.052 5.052 5.123
angles (deg): 90.00 90.00 90.00
Space group P4/mmm (No. 123)
Unique sites:
Mn (0.000, 0.000, 0.000) [1 per cell]
Zn (0.000, 0.500, 0.500) [2 per cell]
Rh (0.500, 0.500, 0.000) [1 per cell]
Pb (0.500, 0.500, 0.500) [1 per cell]

First-principles (GGA-PBE) data for an optimized crystal structure of MnRuPb2, as listed in Alexandria via LeMat-Bulk.

Summary:
Raw total energy   -6.10 eV per atom
Offset from the most stable computed form   0.47 eV per formula unit
Volume   23.678 Å³ per atom

a b c (Å): 4.1766 4.1766 18.8082
angles (deg): 90.00 90.00 120.00
Space group R3m (No. 160, hexagonal axes)
Unique sites:
Mn (0.0000, 0.0000, 0.0000) [3 per cell]
Ru (0.0000, 0.0000, 0.3337) [3 per cell]
Pb (0.0000, 0.0000, 0.5721) [3 per cell]
Pb (0.0000, 0.0000, 0.7622) [3 per cell]

First-principles (GGA-PBE) data for an optimized crystal structure of MnRuPb, as listed in Alexandria via LeMat-Bulk.

Summary:
Raw total energy   -6.88 eV per atom
Offset from the most stable computed form   0.16 eV per formula unit
Volume   20.447 Å³ per atom

a b c (Å): 6.260 6.260 6.260
angles (deg): 90.00 90.00 90.00
Space group F-43m (No. 216)
Unique sites:
Mn (0.000, 0.000, 0.000) [4 per cell]
Ru (0.250, 0.250, 0.250) [4 per cell]
Pb (0.000, 0.000, 0.500) [4 per cell]

First-principles (GGA-PBE) data for an optimized crystal structure of MnRuPb3, as listed in Alexandria via LeMat-Bulk.

Summary:
Raw total energy   -4.85 eV per atom
Offset from the most stable computed form   0.00 eV per formula unit
Volume   27.002 Å³ per atom

a b c (Å): 5.130 5.130 5.130
angles (deg): 90.00 90.00 90.00
Space group Pm-3m (No. 221)
Unique sites:
Mn (0.000, 0.000, 0.000) [1 per cell]
Ru (0.500, 0.500, 0.500) [1 per cell]
Pb (0.000, 0.000, 0.500) [3 per cell]

First-principles (GGA-PBE) data for an optimized crystal structure of MnRuPb, as listed in Alexandria via LeMat-Bulk.

Summary:
Raw total energy   -6.93 eV per atom
Offset from the most stable computed form   0.00 eV per formula unit
Volume   17.850 Å³ per atom

a b c (Å): 3.114 3.114 11.044
angles (deg): 90.00 90.00 90.00
Space group I4mm (No. 107)
Unique sites:
Mn (0.000, 0.000, 0.000) [2 per cell]
Ru (0.000, 0.000, 0.619) [2 per cell]
Pb (0.000, 0.000, 0.305) [2 per cell]

First-principles (GGA-PBE) data for an optimized crystal structure of MnRuPb2, as listed in Alexandria via LeMat-Bulk.

Summary:
Raw total energy   -5.70 eV per atom
Offset from the most stable computed form   2.04 eV per formula unit
Volume   22.245 Å³ per atom

a b c (Å): 7.633 7.633 6.109
angles (deg): 90.00 90.00 90.00
Space group I-42d (No. 122)
Unique sites:
Mn (0.000, 0.000, 0.000) [4 per cell]
Ru (0.000, 0.000, 0.500) [4 per cell]
Pb (0.237, 0.750, 0.625) [8 per cell]

First-principles (GGA-PBE) data for an optimized crystal structure of MnRuPb2, as listed in Alexandria via LeMat-Bulk.

Summary:
Raw total energy   -6.09 eV per atom
Offset from the most stable computed form   0.51 eV per formula unit
Volume   20.515 Å³ per atom

a b c (Å): 4.279 3.634 10.555
angles (deg): 90.00 90.00 90.00
Space group Amm2 (No. 38)
Unique sites:
Mn (0.000, 0.000, 0.000) [2 per cell]
Ru (0.500, 0.000, 0.864) [2 per cell]
Pb (0.000, 0.000, 0.277) [2 per cell]
Pb (0.500, 0.000, 0.579) [2 per cell]

First-principles (GGA-PBE) data for an optimized crystal structure of MnRuPb2, as listed in Alexandria via LeMat-Bulk.

Summary:
Raw total energy   -5.79 eV per atom
Offset from the most stable computed form   1.71 eV per formula unit
Volume   20.744 Å³ per atom

a b c (Å): 6.924 6.924 6.924
angles (deg): 90.00 90.00 90.00
Space group F-43m (No. 216)
Unique sites:
Mn (0.000, 0.000, 0.000) [4 per cell]
Ru (0.250, 0.250, 0.250) [4 per cell]
Pb (0.000, 0.000, 0.500) [4 per cell]
Pb (0.250, 0.250, 0.750) [4 per cell]

First-principles (GGA-PBE) data for an optimized crystal structure of MnRuPb, as listed in Alexandria via LeMat-Bulk.

Summary:
Raw total energy   -6.88 eV per atom
Offset from the most stable computed form   0.17 eV per formula unit
Volume   17.654 Å³ per atom

a b c (Å): 4.3958 4.3958 3.1649
angles (deg): 90.00 90.00 120.00
Space group P3m1 (No. 156)
Unique sites:
Mn (0.0000, 0.0000, 0.0000) [1 per cell]
Ru (0.3333, 0.6667, 0.7678) [1 per cell]
Pb (0.6667, 0.3333, 0.3779) [1 per cell]

First-principles (GGA-PBE) data for an optimized crystal structure of MnRuPb2, as listed in Alexandria via LeMat-Bulk.

Summary:
Raw total energy   -5.94 eV per atom
Offset from the most stable computed form   1.08 eV per formula unit
Volume   19.930 Å³ per atom

a b c (Å): 3.394 3.394 6.922
angles (deg): 90.00 90.00 90.00
Space group P4/mmm (No. 123)
Unique sites:
Mn (0.000, 0.000, 0.000) [1 per cell]
Ru (0.000, 0.000, 0.500) [1 per cell]
Pb (0.500, 0.500, 0.262) [2 per cell]

First-principles (GGA-PBE) data for an optimized crystal structure of MnRuPb2, as listed in Alexandria via LeMat-Bulk.

Summary:
Raw total energy   -5.89 eV per atom
Offset from the most stable computed form   1.31 eV per formula unit
Volume   20.299 Å³ per atom

a b c (Å): 4.686 3.321 5.636
angles (deg): 90.00 112.24 90.00
Space group P2/m (No. 10)
Unique sites:
Mn (0.000, 0.000, 0.000) [1 per cell]
Ru (0.000, 0.500, 0.500) [1 per cell]
Pb (0.500, 0.000, 0.500) [1 per cell]
Pb (0.500, 0.500, 0.000) [1 per cell]

First-principles (GGA-PBE) data for an optimized crystal structure of Mn4RuPb, as listed in Alexandria via LeMat-Bulk.

Summary:
Raw total energy   -7.84 eV per atom
Volume   13.755 Å³ per atom

a b c (Å): 6.911 6.911 6.911
angles (deg): 90.00 90.00 90.00
Space group F-43m (No. 216)
Unique sites:
Mn (0.124, 0.124, 0.124) [16 per cell]
Ru (0.250, 0.250, 0.750) [4 per cell]
Pb (0.000, 0.000, 0.500) [4 per cell]

First-principles (GGA-PBE) data for an optimized crystal structure of MnRuPb2, as listed in Alexandria via LeMat-Bulk.

Summary:
Raw total energy   -5.92 eV per atom
Offset from the most stable computed form   1.20 eV per formula unit
Volume   20.617 Å³ per atom

a b c (Å): 8.922 3.398 5.539
angles (deg): 90.00 100.81 90.00
Space group C2/m (No. 12)
Unique sites:
Mn (0.000, 0.000, 0.000) [2 per cell]
Ru (0.000, 0.500, 0.500) [2 per cell]
Pb (0.242, 0.000, 0.739) [4 per cell]

First-principles (GGA-PBE) data for an optimized crystal structure of MnRuPb2, as listed in Alexandria via LeMat-Bulk.

Summary:
Raw total energy   -6.21 eV per atom
Offset from the most stable computed form   0.00 eV per formula unit
Volume   21.854 Å³ per atom

a b c (Å): 3.226 3.226 8.402
angles (deg): 90.00 90.00 90.00
Space group P4mm (No. 99)
Unique sites:
Mn (0.000, 0.000, 0.000) [1 per cell]
Ru (0.500, 0.500, 0.861) [1 per cell]
Pb (0.000, 0.000, 0.622) [1 per cell]
Pb (0.500, 0.500, 0.233) [1 per cell]

First-principles (GGA-PBE) data for an optimized crystal structure of MnRuPb2, as listed in Alexandria via LeMat-Bulk.

Summary:
Raw total energy   -5.91 eV per atom
Offset from the most stable computed form   1.23 eV per formula unit
Volume   19.992 Å³ per atom

a b c (Å): 4.097 4.097 9.528
angles (deg): 90.00 90.00 90.00
Space group I-4m2 (No. 119)
Unique sites:
Mn (0.000, 0.000, 0.000) [2 per cell]
Ru (0.000, 0.500, 0.250) [2 per cell]
Pb (0.000, 0.000, 0.500) [2 per cell]
Pb (0.000, 0.500, 0.750) [2 per cell]

First-principles (GGA-PBE) data for an optimized crystal structure of Mn2Ru2Pb, as listed in Alexandria via LeMat-Bulk.

Summary:
Raw total energy   -7.74 eV per atom
Volume   16.079 Å³ per atom

a b c (Å): 7.350 7.350 2.976
angles (deg): 90.00 90.00 90.00
Space group P4/mbm (No. 127)
Unique sites:
Mn (0.159, 0.341, 0.000) [4 per cell]
Ru (0.130, 0.630, 0.500) [4 per cell]
Pb (0.000, 0.000, 0.500) [2 per cell]

First-principles (GGA-PBE) data for an optimized crystal structure of MnRuPb2, as listed in Alexandria via LeMat-Bulk.

Summary:
Raw total energy   -6.05 eV per atom
Offset from the most stable computed form   0.66 eV per formula unit
Volume   21.912 Å³ per atom

a b c (Å): 3.143 4.579 12.181
angles (deg): 90.00 90.00 90.00
Space group Imm2 (No. 44)
Unique sites:
Mn (0.000, 0.000, 0.000) [2 per cell]
Ru (0.000, 0.500, 0.329) [2 per cell]
Pb (0.000, 0.000, 0.604) [2 per cell]
Pb (0.000, 0.500, 0.822) [2 per cell]

First-principles (GGA-PBE) data for an optimized crystal structure of MnRu3Pb, as listed in Alexandria via LeMat-Bulk.

Summary:
Raw total energy   -7.08 eV per atom
Offset from the most stable computed form   0.00 eV per formula unit
Volume   17.968 Å³ per atom

a b c (Å): 4.479 4.479 4.479
angles (deg): 90.00 90.00 90.00
Space group Pm-3m (No. 221)
Unique sites:
Mn (0.000, 0.000, 0.000) [1 per cell]
Ru (0.000, 0.000, 0.500) [3 per cell]
Pb (0.500, 0.500, 0.500) [1 per cell]

First-principles (GGA-PBE) data for an optimized crystal structure of MnRuPb2, as listed in Alexandria via LeMat-Bulk.

Summary:
Raw total energy   -5.91 eV per atom
Offset from the most stable computed form   1.20 eV per formula unit
Volume   19.674 Å³ per atom

a b c (Å): 3.290 4.885 4.897
angles (deg): 90.00 90.00 90.00
Space group Pmmm (No. 47)
Unique sites:
Mn (0.000, 0.000, 0.000) [1 per cell]
Ru (0.000, 0.500, 0.500) [1 per cell]
Pb (0.500, 0.000, 0.500) [1 per cell]
Pb (0.500, 0.500, 0.000) [1 per cell]

First-principles (GGA-PBE) data for an optimized crystal structure of MnRuPb2, as listed in Alexandria via LeMat-Bulk.

Summary:
Raw total energy   -5.73 eV per atom
Offset from the most stable computed form   1.96 eV per formula unit
Volume   18.139 Å³ per atom

a b c (Å): 6.621 6.621 6.621
angles (deg): 90.00 90.00 90.00
Space group Fm-3m (No. 225)
Unique sites:
Mn (0.000, 0.000, 0.000) [4 per cell]
Ru (0.000, 0.000, 0.500) [4 per cell]
Pb (0.250, 0.250, 0.250) [8 per cell]

First-principles (GGA-PBE) data for an optimized crystal structure of MnRuPb2, as listed in Alexandria via LeMat-Bulk.

Summary:
Raw total energy   -5.89 eV per atom
Offset from the most stable computed form   1.30 eV per formula unit
Volume   21.033 Å³ per atom

a b c (Å): 3.3404 3.3404 26.1199
angles (deg): 90.00 90.00 120.00
Space group R-3m (No. 166, hexagonal axes)
Unique sites:
Mn (0.0000, 0.0000, 0.0000) [3 per cell]
Ru (0.0000, 0.0000, 0.5000) [3 per cell]
Pb (0.0000, 0.0000, 0.2450) [6 per cell]

First-principles (GGA-PBE) data for an optimized crystal structure of YMn2RuPb, as listed in Alexandria via LeMat-Bulk.

Summary:
Raw total energy   -6.09 eV per atom
Volume   26.099 Å³ per atom

a b c (Å): 5.157 5.157 4.907
angles (deg): 90.00 90.00 90.00
Space group P4/mmm (No. 123)
Unique sites:
Y (0.000, 0.000, 0.000) [1 per cell]
Mn (0.000, 0.500, 0.000) [2 per cell]
Ru (0.000, 0.000, 0.500) [1 per cell]
Pb (0.500, 0.500, 0.500) [1 per cell]

First-principles (GGA-PBE) data for an optimized crystal structure of Mn2PbS4, as listed in Alexandria via LeMat-Bulk.

Summary:
Raw total energy   -5.95 eV per atom
Volume   22.339 Å³ per atom
Formation energy from raw total energies   -0.446 eV per atom

a b c (Å): 13.161 7.630 7.628
angles (deg): 90.00 125.25 90.00
Space group C2/m (No. 12)
Unique sites:
Mn (0.000, 0.000, 0.000) [2 per cell]
Mn (0.000, 0.000, 0.500) [2 per cell]
Mn (0.250, 0.250, 0.000) [4 per cell]
Pb (0.125, 0.500, 0.376) [4 per cell]
S (0.020, 0.210, 0.771) [8 per cell]
S (0.229, 0.000, 0.189) [4 per cell]
S (0.230, 0.000, 0.770) [4 per cell]

First-principles (GGA-PBE) data for an optimized crystal structure of MnPb5S6, as listed in Alexandria via LeMat-Bulk.

Summary:
Raw total energy   -4.88 eV per atom
Volume   25.325 Å³ per atom
Formation energy from raw total energies   -0.503 eV per atom

a b c (Å): 7.228 12.387 7.198
angles (deg): 90.00 109.43 90.00
Space group C2/m (No. 12)
Unique sites:
Mn (0.000, 0.000, 0.000) [2 per cell]
Pb (0.000, 0.165, 0.500) [4 per cell]
Pb (0.000, 0.331, 0.000) [4 per cell]
Pb (0.000, 0.500, 0.500) [2 per cell]
S (0.223, 0.149, 0.224) [8 per cell]
S (0.228, 0.000, 0.753) [4 per cell]

First-principles (GGA-PBE) data for an optimized crystal structure of MnPbS, as listed in Alexandria via LeMat-Bulk.

Summary:
Raw total energy   -5.97 eV per atom
Volume   23.064 Å³ per atom
Formation energy from raw total energies   -0.299 eV per atom

a b c (Å): 3.511 3.511 11.229
angles (deg): 90.00 90.00 90.00
Space group P4/nmm (No. 129, origin choice 2)
Unique sites:
Mn (0.250, 0.750, 0.000) [2 per cell]
Pb (0.250, 0.250, 0.395) [2 per cell]
S (0.250, 0.250, 0.875) [2 per cell]